# 1
VASP calculation (PBE) on La2Dy3In3 after structural relaxation.

Properties
DFT formation energy, eV/atom: -0.35
E, eV for the cell shown: -34.68
Space-group type: Pmmm (47)
Magnetic moment, μB per formula unit: 0.00

```
8
Lattice="-2.958 3.047 2.527 -3.896 -1.353 -2.928 -2.062 -6.939 5.951" Properties=species:S:1:pos:R:3 pbc="T T T"
La -1.538 -5.175 4.438
La -0.524 -1.764 1.513
Dy -4.930 -4.211 4.137
Dy -3.986 -1.035 1.413
Dy -1.479 1.523 1.264
In -2.510 -1.946 4.239
In -1.948 -0.677 -1.464
In -2.979 -4.146 1.511
```

# 2
VASP calculation (PBE) on TcIrN2 after structural relaxation.

Properties
E, eV for the cell shown: -30.87
Space-group type: Fm-3m (225)
E_form (uncorrected), eV/atom: 1.253
Magnetic moment, μB per formula unit: 0.00
Polymorph energy (0 for the lowest one), eV/f.u.: 4.29

```
4
Lattice="0.000 2.718 2.718 2.718 0.000 2.718 2.718 2.718 0.000" Properties=species:S:1:pos:R:3 pbc="T T T"
Ir 2.718 2.718 2.718
Tc 0.000 0.000 0.000
N 1.359 1.359 1.359
N 4.076 4.076 4.076
```

# 3
VASP calculation (PBE) on SmZrAgIr after structural relaxation.

Properties
DFT formation energy, eV/atom: -0.36
E, eV for the cell shown: -26.44
Space-group type: F-43m (216)
Magnetic moment, μB per formula unit: 0.00

```
4
Lattice="4.918 0.000 0.000 2.459 4.259 0.000 2.459 1.420 4.015" Properties=species:S:1:pos:R:3 pbc="T T T"
Zr 4.918 2.839 2.008
Ir 7.377 4.259 3.012
Ag 2.459 1.420 1.004
Sm 0.000 0.000 0.000
```

# 4
VASP calculation (PBE) on ErNbTcOs after structural relaxation.

Properties
DFT formation energy, eV/atom: -0.18
E, eV for the cell shown: -36.95
Space-group type: F-43m (216)
Magnetic moment, μB per formula unit: 0.00

```
4
Lattice="-2.565 -3.233 -2.093 0.589 -0.860 -4.508 1.945 -3.972 -1.363" Properties=species:S:1:pos:R:3 pbc="T T T"
Nb -0.023 -6.049 -5.973
Os -0.016 -4.033 -3.982
Tc 0.000 0.000 0.000
Er -0.008 -2.016 -1.991
```